No. 1
{
  "formula": "OsRu2Cl",
  "functional": "GGA-PBE",
  "state": "relaxed",
  "lattice_angstrom": [[3.9374, 0.0000, 0.0000], [0.0000, 2.8237, 0.0014], [0.0000, 1.4525, 5.1758]],
  "species": ["Ru", "Ru", "Cl", "Os"],
  "frac_coords": [[0.0000, 0.1333, 0.9999], [0.0000, 0.3667, 0.5001], [0.5000, 0.2500, 0.2500], [0.5000, 0.7500, 0.7500]],
  "de_polymorph_mev_per_atom": 298,
  "e_form_raw_ev_per_atom": 0.70
}

No. 2
{
  "formula": "HfCd3O",
  "functional": "GGA-PBE",
  "state": "relaxed",
  "lattice_angstrom": [[4.6602, 0.0000, 0.0000], [0.0000, 4.6602, 0.0000], [0.0000, 0.0000, 4.6602]],
  "species": ["O", "Hf", "Cd", "Cd", "Cd"],
  "frac_coords": [[0.0000, 0.0000, 0.0000], [0.5000, 0.5000, 0.5000], [0.5000, 0.0000, 0.0000], [0.0000, 0.0000, 0.5000], [0.0000, 0.5000, 0.0000]],
  "de_polymorph_mev_per_atom": 0,
  "e_form_raw_ev_per_atom": 0.20
}

No. 3
{
  "formula": "Mg2TaAg",
  "functional": "GGA-PBE",
  "state": "relaxed",
  "lattice_angstrom": [[5.4781, 0.0120, 0.0168], [4.7320, 2.7599, 0.0168], [1.5550, 0.4222, 5.0527]],
  "species": ["Mg", "Ta", "Ag", "Mg"],
  "frac_coords": [[0.9858, 0.9858, 0.0027], [0.7500, 0.7500, 0.7500], [0.2500, 0.2500, 0.2500], [0.5142, 0.5142, 0.4973]],
  "de_polymorph_mev_per_atom": 232,
  "ef_mev_per_atom": 292.0
}

No. 4
{
  "formula": "TaBS4",
  "functional": "GGA-PBE",
  "state": "relaxed",
  "lattice_angstrom": [[3.1169, 0.0000, 0.0000], [0.0000, 6.2140, 0.2701], [0.0000, 0.2708, 13.7717]],
  "species": ["Ta", "S", "B", "S", "S", "Ta", "S", "B", "S", "S", "S", "S"],
  "frac_coords": [[0.5000, 0.5000, 0.0000], [0.4207, 0.8550, 0.0819], [0.0000, 0.0000, 0.0000], [0.5063, 0.8480, 0.6190], [0.4937, 0.1520, 0.3810], [0.0000, 0.0000, 0.5000], [0.9207, 0.6450, 0.4181], [0.5000, 0.5000, 0.5000], [0.0063, 0.6520, 0.8810], [0.9937, 0.3480, 0.1190], [0.0793, 0.3550, 0.5819], [0.5793, 0.1450, 0.9181]],
  "e_form_raw_ev_per_atom": -0.27
}

No. 5
{
  "formula": "Ti2SnCl",
  "functional": "GGA-PBE",
  "state": "relaxed",
  "lattice_angstrom": [[-3.3620, -1.7799, 2.8034], [-4.5475, 0.9424, -0.8727], [-2.8537, -3.4081, -1.6035]],
  "species": ["Ti", "Cl", "Sn", "Ti"],
  "frac_coords": [[0.7500, 0.7500, 0.7500], [0.0000, 0.0000, 0.0000], [0.5000, 0.5000, 0.5000], [0.2500, 0.2500, 0.2500]],
  "de_polymorph_mev_per_atom": 0,
  "e_form_raw_ev_per_atom": -0.15
}

No. 6
{
  "formula": "BaTmMgPb",
  "functional": "GGA-PBE",
  "state": "relaxed",
  "lattice_angstrom": [[5.6829, 0.0000, 0.0000], [2.8415, 4.9216, 0.0000], [2.8415, 1.6405, 4.6401]],
  "species": ["Tm", "Pb", "Ba", "Mg"],
  "frac_coords": [[0.2500, 0.2500, 0.2500], [0.5000, 0.5000, 0.5000], [0.7500, 0.7500, 0.7500], [0.0000, 0.0000, 0.0000]],
  "ef_mev_per_atom": -176.4
}

No. 7
{
  "formula": "GaCu3Ni4",
  "functional": "GGA-PBE",
  "state": "relaxed",
  "lattice_angstrom": [[-2.0377, -3.7158, 0.3434], [3.9931, -2.4161, -2.4485], [3.6534, -1.3315, 7.2719]],
  "species": ["Cu", "Cu", "Ni", "Ni", "Cu", "Cu", "Ga", "Ga", "Ni", "Ni", "Ni", "Ni", "Ni", "Cu", "Ni", "Cu"],
  "frac_coords": [[0.0000, 0.0000, 0.0000], [0.0000, 0.0000, 0.5000], [0.8745, 0.2480, 0.2500], [0.5000, 0.7507, 0.0000], [0.6246, 0.0000, 0.7500], [0.6155, 0.5000, 0.7500], [0.0000, 0.5000, 0.5000], [0.0000, 0.5000, 0.0000], [0.5000, 0.7507, 0.5000], [0.8745, 0.7520, 0.2500], [0.1255, 0.2480, 0.7500], [0.1255, 0.7520, 0.7500], [0.5000, 0.2493, 0.5000], [0.3845, 0.5000, 0.2500], [0.5000, 0.2493, 0.0000], [0.3754, 0.0000, 0.2500]],
  "de_polymorph_mev_per_atom": 0,
  "ef_mev_per_atom": -107.3
}

No. 8
{
  "formula": "Nd5Hg2Pd2",
  "functional": "GGA-PBE",
  "state": "relaxed",
  "lattice_angstrom": [[8.6860, 0.0000, 0.0000], [0.0000, 7.3917, 0.0000], [0.0000, -3.6959, 7.9358]],
  "species": ["Nd", "Hg", "Nd", "Nd", "Pd", "Nd", "Pd", "Hg", "Nd", "Nd", "Pd", "Nd", "Pd", "Nd", "Hg", "Nd", "Nd", "Hg"],
  "frac_coords": [[0.1791, 0.2098, 0.7451], [0.0000, 0.2106, 0.4212], [0.3209, 0.7098, 0.7451], [0.5000, 0.5000, 0.0000], [0.8794, 0.3711, 0.0000], [0.6791, 0.2902, 0.2549], [0.1206, 0.6289, 0.0000], [0.5000, 0.7106, 0.4212], [0.6791, 0.0353, 0.7451], [0.3209, 0.9647, 0.2549], [0.6206, 0.8711, 0.0000], [0.8209, 0.5353, 0.7451], [0.3794, 0.1289, 0.0000], [0.0000, 0.0000, 0.0000], [0.0000, 0.7894, 0.5788], [0.1791, 0.4647, 0.2549], [0.8209, 0.7902, 0.2549], [0.5000, 0.2894, 0.5788]],
  "ef_mev_per_atom": -531.1
}

No. 9
{
  "formula": "ScSnH3",
  "functional": "GGA-PBE",
  "state": "relaxed",
  "lattice_angstrom": [[3.8765, 0.0000, 0.0000], [0.0000, 3.8765, 0.0000], [0.0000, 0.0000, 3.8765]],
  "species": ["Sn", "Sc", "H", "H", "H"],
  "frac_coords": [[0.5000, 0.5000, 0.5000], [0.0000, 0.0000, 0.0000], [0.0000, 0.0000, 0.5000], [0.0000, 0.5000, 0.0000], [0.5000, 0.0000, 0.0000]],
  "de_polymorph_mev_per_atom": 0
}

no.,Fermi-level density of states (states/eV/cell)
1,3.52
2,6.44
3,2.64
4,0.61
5,3.64
6,3.25
7,10.88
8,15.97
9,2.07